Entry 1:
Material: Li4Cd6Sn
Method: DFT, PBE
State: relaxed

Unit cell a=5.9794 b=8.2996 c=5.9794 alpha=68.89 beta=90.00 gamma=111.11
Sites, in units of the cell vectors:
1 Li 0.6382 0.6719 0.3618
2 Li 0.9663 0.3281 0.6382
3 Li 0.0337 0.6719 0.9663
4 Li 0.3618 0.3281 0.0337
5 Cd 0.4589 0.2780 0.5411
6 Cd 0.8190 0.2780 0.1810
7 Cd 0.5411 0.7220 0.8190
8 Cd 0.0000 0.0000 0.5000
9 Cd 0.1810 0.7220 0.4589
10 Cd 0.5000 0.0000 0.0000
11 Sn 0.0000 0.0000 0.0000

Summary:
Energy relative to the elements in eV/atom: -0.077

---

Entry 2:
Material: Li8Cd6Sn
Method: DFT, PBE
State: relaxed

Unit cell a=7.6428 b=7.6428 c=7.4026 alpha=58.92 beta=58.92 gamma=60.00
Sites, in units of the cell vectors:
1 Li 0.6323 0.1115 0.3523
2 Li 0.8885 0.0961 0.6477
3 Li 0.0961 0.3677 0.6477
4 Li 0.7350 0.7350 0.7951
5 Li 0.2650 0.2650 0.2049
6 Li 0.9039 0.6323 0.3523
7 Li 0.1115 0.9039 0.3523
8 Li 0.3677 0.8885 0.6477
9 Cd 0.4280 0.1469 0.8026
10 Cd 0.8531 0.3775 0.1974
11 Cd 0.3775 0.5720 0.1974
12 Cd 0.6225 0.4280 0.8026
13 Cd 0.1469 0.6225 0.8026
14 Cd 0.5720 0.8531 0.1974
15 Sn 0.0000 0.0000 0.0000

Summary:
Energy relative to the elements in eV/atom: -0.148

---

Entry 3:
Material: Li2Cd3Sn
Method: DFT, PBE
State: relaxed

Unit cell a=5.9709 b=6.7055 c=6.7055 alpha=98.07 beta=90.00 gamma=90.00
Sites, in units of the cell vectors:
1 Li 0.0000 0.3112 0.3112
2 Li 0.5000 0.6888 0.6888
3 Li 0.0000 0.6888 0.6888
4 Li 0.5000 0.3112 0.3112
5 Cd 0.7500 0.0275 0.9725
6 Cd 0.2500 0.9725 0.0275
7 Cd 0.7500 0.5988 0.0709
8 Cd 0.2500 0.4012 0.9291
9 Cd 0.7500 0.9291 0.4012
10 Cd 0.2500 0.0709 0.5988
11 Sn 0.7500 0.3114 0.6886
12 Sn 0.2500 0.6886 0.3114

Summary:
Energy relative to the elements in eV/atom: -0.106

---

Entry 4:
Material: Li7Cd2Sn
Method: DFT, PBE
State: relaxed

Unit cell a=4.6825 b=4.6825 c=10.0883 alpha=90.00 beta=90.00 gamma=120.00
Sites, in units of the cell vectors:
1 Li 0.3333 0.6667 0.3971
2 Li 0.3333 0.6667 0.1491
3 Li 0.0000 0.0000 0.3503
4 Li 0.0000 0.0000 0.7510
5 Li 0.6667 0.3333 0.5442
6 Li 0.6667 0.3333 0.9312
7 Li 0.3333 0.6667 0.9136
8 Cd 0.6667 0.3333 0.2435
9 Cd 0.3333 0.6667 0.6553
10 Sn 0.0000 0.0000 0.0483

Summary:
Energy relative to the elements in eV/atom: -0.173

---

Entry 5:
Material: Li4Cd4Sn3
Method: DFT, PBE
State: relaxed

Unit cell a=3.1836 b=4.4315 c=16.7301 alpha=82.68 beta=84.87 gamma=92.04
Sites, in units of the cell vectors:
1 Li 0.5451 0.5424 0.9139
2 Li 0.4550 0.4576 0.0861
3 Li 0.8151 0.8186 0.3654
4 Li 0.1848 0.1814 0.6346
5 Cd 0.0936 0.0902 0.8189
6 Cd 0.2701 0.2709 0.4582
7 Cd 0.7299 0.7292 0.5418
8 Cd 0.9065 0.9098 0.1811
9 Sn 0.6391 0.6379 0.7234
10 Sn 0.3609 0.3622 0.2765
11 Sn 0.0000 0.0000 0.0000

Summary:
Energy relative to the elements in eV/atom: -0.225

---

Entry 6:
Material: LiCdSn4
Method: DFT, PBE
State: relaxed

Unit cell a=6.8018 b=6.6654 c=7.1814 alpha=90.00 beta=90.00 gamma=99.96
Sites, in units of the cell vectors:
1 Li 0.5000 0.2500 0.2500
2 Li 0.5000 0.7500 0.7500
3 Cd 0.0000 0.2500 0.7500
4 Cd 0.0000 0.7500 0.2500
5 Sn 0.2670 0.4982 0.0369
6 Sn 0.2670 0.4982 0.4631
7 Sn 0.7330 0.0018 0.0369
8 Sn 0.7330 0.5018 0.5369
9 Sn 0.7330 0.0018 0.4631
10 Sn 0.2670 0.9982 0.9631
11 Sn 0.2670 0.9982 0.5369
12 Sn 0.7330 0.5018 0.9631

Summary:
Energy relative to the elements in eV/atom: -0.026